Computed, not measured: a geometry-optimized PaV4W structure at the GGA-PBE level of DFT.

Results
DFT total energy = -9.680 eV/atom
ΔE_f = 140 meV per atom
DOS at the Fermi energy = 1.421 states/eV/atom
Size of the total moment = 0.0 μB/f.u.

Cell lengths 7.252, 7.252, 7.252 Å; angles 90.00, 90.00, 90.00 degrees
Space group F-43m (No. 216)
Unique sites:
Pa 0.000 0.000 0.000 x4
V 0.125 0.125 0.375 x16
W 0.250 0.250 0.750 x4

---

Computed, not measured: a geometry-optimized PaVW2 structure at the GGA-PBE level of DFT.

Results
DFT total energy = -10.811 eV/atom
ΔE_f = 319 meV per atom
DOS at the Fermi energy = 0.944 states/eV/atom
Size of the total moment = 0.0 μB/f.u.

Cell lengths 3.295, 3.295, 6.522 Å; angles 90.00, 90.00, 90.00 degrees
Space group P4/mmm (No. 123)
Unique sites:
Pa 0.000 0.000 0.000 x1
V 0.000 0.000 0.500 x1
W 0.500 0.500 0.273 x2

---

Computed, not measured: a geometry-optimized Pa2VW structure at the GGA-PBE level of DFT.

Results
DFT total energy = -9.882 eV/atom
ΔE_f = 384 meV per atom
DOS at the Fermi energy = 1.451 states/eV/atom
Size of the total moment = 1.9 μB/f.u.

Cell lengths 4.942, 4.942, 3.430 Å; angles 90.00, 90.00, 90.00 degrees
Space group P4/mmm (No. 123)
Unique sites:
Pa 0.000 0.500 0.000 x2
V 0.000 0.000 0.500 x1
W 0.500 0.500 0.500 x1

---

Computed, not measured: a geometry-optimized Pa2VW structure at the GGA-PBE level of DFT.

Results
DFT total energy = -9.588 eV/atom
ΔE_f = 678 meV per atom
DOS at the Fermi energy = 1.791 states/eV/atom
Size of the total moment = 0.0 μB/f.u.

Cell lengths 2.9588, 2.9588, 32.0293 Å; angles 90.00, 90.00, 120.00 degrees
Space group R-3m (No. 166, hexagonal axes)
Unique sites:
Pa 0.0000 0.0000 0.0886 x6
V 0.0000 0.0000 0.5000 x3
W 0.0000 0.0000 0.0000 x3

---

Computed, not measured: a geometry-optimized Pa2VZn structure at the GGA-PBE level of DFT.

Results
DFT total energy = -6.919 eV/atom
ΔE_f = 427 meV per atom
DOS at the Fermi energy = 1.260 states/eV/atom
Size of the total moment = 0.0 μB/f.u.

Cell lengths 3.0051, 3.0051, 33.1019 Å; angles 90.00, 90.00, 120.00 degrees
Space group R-3m (No. 166, hexagonal axes)
Unique sites:
Pa 0.0000 0.0000 0.0925 x6
V 0.0000 0.0000 0.5000 x3
Zn 0.0000 0.0000 0.0000 x3

---

Computed, not measured: a geometry-optimized Pa2VZn structure at the GGA-PBE level of DFT.

Results
DFT total energy = -7.201 eV/atom
ΔE_f = 145 meV per atom
DOS at the Fermi energy = 2.058 states/eV/atom
Size of the total moment = 0.0 μB/f.u.

Cell lengths 2.977, 2.977, 9.078 Å; angles 90.00, 90.00, 90.00 degrees
Space group P4/mmm (No. 123)
Unique sites:
Pa 0.000 0.000 0.239 x2
V 0.500 0.500 0.000 x1
Zn 0.500 0.500 0.500 x1